Below is LiMnP2O after structural relaxation, with properties calculated at the PBE with a Hubbard U level.

Summary:
Its density of states at the Fermi level is 0.73 states/eV/atom.

Lattice parameters (Å, degrees): 4.7284 4.7284 3.4575 90.00 90.00 90.00
Fractional positions:
Li 0.0000 0.0000 0.0000
Mn 0.5000 0.5000 0.5000
P 0.0000 0.5000 0.5000
P 0.5000 0.0000 0.5000
O 0.5000 0.5000 0.0000

Below is LiMnP2O7 after structural relaxation, with properties calculated at the PBE with a Hubbard U level.

Lattice parameters (Å, degrees): 4.8099 8.3569 7.1137 90.00 108.85 90.00
Fractional positions:
Li 0.1766 0.0000 0.1764
Li 0.8234 0.5000 0.8236
Mn 0.2075 0.6401 0.2251
Mn 0.7925 0.1401 0.7749
P 0.2171 0.9302 0.5942
P 0.4012 0.3193 0.0153
P 0.5988 0.8193 0.9847
P 0.7829 0.4302 0.4058
O 0.0574 0.4690 0.3492
O 0.1405 0.8487 0.3937
O 0.1915 0.1744 0.9790
O 0.2446 0.4795 0.9894
O 0.3840 0.8130 0.1050
O 0.4045 0.0812 0.6021
O 0.4063 0.7983 0.7528
O 0.5937 0.2983 0.2472
O 0.5955 0.5812 0.3979
O 0.6160 0.3130 0.8950
O 0.7554 0.9795 0.0106
O 0.8085 0.6744 0.0210
O 0.8595 0.3487 0.6063
O 0.9426 0.9690 0.6508

The records above give, respectively, excess energy over the best structure of this formula in the dataset values of 0; 0 meV per atom.
The records above give, respectively, total DFT energy (no corrections) values of -4.684; -7.122 eV/atom.